Record 1
## YNi3Cl (meta-GGA SCAN)

Data for a PBEsol-optimized structure of YNi3Cl.

Calculated values
formation energy (no corrections) = 126 kJ/mol of formula units

```
5
Lattice="-0.3177 -4.2360 0.0627 0.1428 -0.0736 -4.2454 4.2341 -0.3154 0.1479" Properties=species:S:1:pos:R:3 pbc="T T T"
Y 2.0296 -2.3125 -2.0174
Cl 0.0000 0.0000 0.0000
Ni 0.0714 -0.0368 -2.1227
Ni -0.1589 -2.1180 0.0314
Ni 2.1171 -0.1577 0.0739
```

Record 2
## ZnNi2Cl (meta-GGA SCAN)

Data for a PBEsol-optimized structure of ZnNi2Cl.

Calculated values
formation energy (no corrections) = 20 kJ/mol of formula units

```
4
Lattice="3.0666 0.0000 0.0000 0.0000 3.0666 0.0000 0.0000 0.0000 5.9358" Properties=species:S:1:pos:R:3 pbc="T T T"
Cl 1.5333 1.5333 5.0184
Zn 0.0000 0.0000 2.4939
Ni 1.5333 1.5333 1.3638
Ni 0.0000 0.0000 0.0276
```

Record 3
## ZnNiCl2 (meta-GGA SCAN)

Data for a PBEsol-optimized structure of ZnNiCl2.

Calculated values
formation energy (no corrections) = -164 kJ/mol of formula units

```
4
Lattice="3.2687 0.0000 0.0000 0.0000 3.7970 0.0000 -1.6344 -1.8985 6.1242" Properties=species:S:1:pos:R:3 pbc="T T T"
Cl 0.0000 0.0000 1.7067
Cl 1.6344 1.8985 4.4175
Zn 0.0000 1.8985 0.0000
Ni 1.6344 0.0000 0.0000
```

Record 4
## ZnNiCl2 (meta-GGA SCAN)

Data for a PBEsol-optimized structure of ZnNiCl2.

Calculated values
formation energy (no corrections) = -51 kJ/mol of formula units

```
4
Lattice="4.5935 0.0186 0.0255 -2.1547 4.0667 -0.1363 -2.1547 -1.3733 3.8303" Properties=species:S:1:pos:R:3 pbc="T T T"
Cl -1.0773 2.0334 -0.0682
Cl -1.0773 -0.6866 1.9151
Ni 0.1421 1.3560 1.8597
Zn 2.2968 0.0093 0.0128
```

Record 5
## ZnNiCl2 (meta-GGA SCAN)

Data for a PBEsol-optimized structure of ZnNiCl2.

Calculated values
formation energy (no corrections) = -146 kJ/mol of formula units

```
4
Lattice="-0.4665 3.1317 -0.3469 -2.6108 -2.0740 -0.5900 -2.2031 0.5411 7.8475" Properties=species:S:1:pos:R:3 pbc="T T T"
Cl -0.9637 1.7452 2.4286
Cl -2.0514 0.5038 7.3070
Ni -1.1145 0.2737 3.9698
Zn -1.8446 1.9616 5.5665
```

Record 6
## ZnNiCl2 (meta-GGA SCAN)

Data for a PBEsol-optimized structure of ZnNiCl2.

Calculated values
formation energy (no corrections) = -88 kJ/mol of formula units

```
4
Lattice="-2.7147 1.3853 -0.0507 -1.5083 -2.9129 1.1727 3.0737 2.8877 5.9525" Properties=species:S:1:pos:R:3 pbc="T T T"
Cl 0.0156 0.0345 0.1058
Cl -0.8415 1.8314 3.4670
Zn -0.4022 -0.6796 2.9688
Ni -2.0328 -0.5901 1.0939
```